Record 1
The following is a PBE calculation of Ce3Ga2Os after structural relaxation, from Alexandria via LeMat-Bulk.

Values from the calculation:
total magnetization: 0.5 μB/f.u.
space group: C2/c, No. 15
DOS at the Fermi energy: 1.684 states/eV/atom
energy relative to the lowest polymorph listed for this composition: 82 meV per atom
raw total energy: -74.240 eV per cell

Cell lengths 5.771, 5.771, 8.680 Å; angles 100.02, 100.02, 94.00 degrees
Fractional coordinates of all 12 atoms:
Ce (0.191, 0.809, 0.750)
Ce (0.233, 0.303, 0.967)
Ce (0.303, 0.233, 0.467)
Ce (0.697, 0.767, 0.533)
Ce (0.767, 0.697, 0.033)
Ce (0.809, 0.191, 0.250)
Ga (0.114, 0.702, 0.370)
Ga (0.298, 0.886, 0.130)
Ga (0.702, 0.114, 0.870)
Ga (0.886, 0.298, 0.630)
Os (0.467, 0.533, 0.250)
Os (0.533, 0.467, 0.750)

Record 2
The following is a PBE calculation of AlFeGe after structural relaxation, from Alexandria via LeMat-Bulk.

Values from the calculation:
total magnetization: 1.8 μB/f.u.
space group: Immm, No. 71
DOS at the Fermi energy: 0.498 states/eV/atom
raw total energy: -64.084 eV per cell

Cell lengths 2.612, 4.758, 14.949 Å; angles 90.00, 90.00, 90.00 degrees
Fractional coordinates of all 12 atoms:
Al (0.000, 0.000, 0.186)
Al (0.000, 0.000, 0.814)
Al (0.500, 0.500, 0.314)
Al (0.500, 0.500, 0.686)
Fe (0.000, 0.000, 0.357)
Fe (0.000, 0.000, 0.643)
Fe (0.500, 0.500, 0.143)
Fe (0.500, 0.500, 0.857)
Ge (0.000, 0.254, 0.500)
Ge (0.000, 0.746, 0.500)
Ge (0.500, 0.246, 0.000)
Ge (0.500, 0.754, 0.000)

Look up the DOS at the Fermi energy of the first one. 1.684 states/eV/atom

Which of these has the highest total magnetization? AlFeGe

Among the records above, which one has the lowest DOS at the Fermi energy? AlFeGe